The following is a GGA-PBE calculation of a relaxed structure of Fe2AsIr, from Alexandria via LeMat-Bulk.

Summary:
**Formation energy from the elements**: 6.4 kJ/mol of atoms
**E_tot**: -30.2 eV for the cell shown
**Calculated density**: 11.605 g/cm³
**V**: 54 Å³ per cell

extended XYZ file:
```
4
Lattice="3.8835 0.0000 0.0000 0.0000 2.7616 0.0260 0.0000 2.5035 5.0780" Properties=species:S:1:pos:R:3 pbc="T T T"
As 1.9417 3.9488 3.8280
Fe 0.0000 5.2026 5.1026
Fe 0.0000 2.6951 2.5535
Ir 1.9417 1.3163 1.2760
```